Record 1
This record from Alexandria via LeMat-Bulk describes an optimized crystal structure of SrCd2Ge2. The functional is PBE.

## Properties
Fermi-level density of states in states/eV per cell: 4.777
Formation energy from the elements in eV/atom: -0.0641
Space-group type: P4/mbm, No. 127

Unit cell a=8.0903 b=8.0903 c=3.8414 alpha=90.00 beta=90.00 gamma=90.00
Closest atoms and distances in Å follow each position.
Atoms (fractional coordinates):
Sr1 0.0000 0.0000 0.0000  4 Ge 3.22, 8 Cd 3.59
Sr2 0.5000 0.5000 0.0000  4 Ge 3.22, 8 Cd 3.59
Ge1 0.3798 0.8798 0.0000  1 Ge 2.75, 4 Cd 3.00
Ge2 0.8798 0.6202 0.0000  1 Ge 2.75, 4 Cd 3.00
Ge3 0.6202 0.1202 0.0000  1 Ge 2.75, 4 Cd 3.00
Ge4 0.1202 0.3798 0.0000  1 Ge 2.75, 4 Cd 3.00
Cd1 0.1619 0.6619 0.5000  6 Ge 3.00-3.15
Cd2 0.6619 0.8381 0.5000  6 Ge 3.00-3.15
Cd3 0.8381 0.3381 0.5000  6 Ge 3.00-3.15
Cd4 0.3381 0.1619 0.5000  6 Ge 3.00-3.15

***

Record 2
This record from Alexandria via LeMat-Bulk describes an optimized crystal structure of Ba2CePbO6. The functional is PBE.

## Properties
Fermi-level density of states in states/eV per cell: 0.000
E_form (uncorrected) in eV/atom: -2.46
Space-group type: P2_1/c, No. 14

Unit cell a=6.2346 b=6.2052 c=8.7668 alpha=90.00 beta=90.11 gamma=90.00
Closest atoms and distances in Å follow each position.
Atoms (fractional coordinates):
Ba1 0.0055 0.9854 0.2492  6 O 2.75-2.99
Ba2 0.5055 0.5146 0.7492  6 O 2.75-2.99
Ba3 0.9945 0.0146 0.7508  6 O 2.75-2.99
Ba4 0.4945 0.4854 0.2508  6 O 2.75-2.99
Ce1 0.5000 0.0000 0.0000  6 O 2.24
Ce2 0.0000 0.5000 0.5000  6 O 2.24
Pb1 0.5000 0.0000 0.5000  6 O 2.21-2.22
Pb2 0.0000 0.5000 0.0000  6 O 2.21-2.22
O1 0.2661 0.7311 0.0352  1 Pb 2.21, 1 Ce 2.24
O2 0.7661 0.7689 0.5352  1 Pb 2.21, 1 Ce 2.24
O3 0.7339 0.2689 0.9648  1 Pb 2.21, 1 Ce 2.24
O4 0.2339 0.2311 0.4648  1 Pb 2.21, 1 Ce 2.24
O5 0.2698 0.7326 0.4653  1 Pb 2.21, 1 Ce 2.24
O6 0.7698 0.7674 0.9653  1 Pb 2.21, 1 Ce 2.24
O7 0.7302 0.2674 0.5347  1 Pb 2.21, 1 Ce 2.24
O8 0.2302 0.2326 0.0347  1 Pb 2.21, 1 Ce 2.24
O9 0.9351 0.5087 0.2486  1 Pb 2.22, 1 Ce 2.24
O10 0.4351 0.9913 0.7486  1 Pb 2.22, 1 Ce 2.24
O11 0.0649 0.4913 0.7514  1 Pb 2.22, 1 Ce 2.24
O12 0.5649 0.0087 0.2514  1 Pb 2.22, 1 Ce 2.24

***

Record 3
This record from Alexandria via LeMat-Bulk describes an optimized crystal structure of PmErO3. The functional is PBE.

## Properties
Fermi-level density of states in states/eV per cell: 0.000
E_form (uncorrected) in eV/atom: -3.44
Space-group type: Cmc2_1, No. 36

Unit cell a=3.5388 b=5.8015 c=7.3230 alpha=90.00 beta=103.98 gamma=90.00
Closest atoms and distances in Å follow each position.
Atoms (fractional coordinates):
Pm1 0.8187 0.5356 0.6374  6 O 2.33-2.39
Pm2 0.1813 0.0356 0.3626  6 O 2.33-2.39
Er1 0.4566 0.9788 0.9131  6 O 2.21-2.44
Er2 0.5434 0.4788 0.0869  6 O 2.21-2.44
O1 0.6832 0.3105 0.3664  1 Er 2.21, 3 Pm 2.33-2.38
O2 0.3168 0.8105 0.6336  1 Er 2.21, 3 Pm 2.33-2.38
O3 0.9742 0.6928 0.9485  4 Er 2.37-2.44, 1 Pm 2.39
O4 0.0258 0.1928 0.0515  4 Er 2.37-2.44, 1 Pm 2.39
O5 0.6215 0.8131 0.2430  1 Er 2.23, 2 Pm 2.35
O6 0.3785 0.3131 0.7570  1 Er 2.23, 2 Pm 2.35

***

Record 4
This record from Alexandria via LeMat-Bulk describes an optimized crystal structure of Te2Pt2N. The functional is PBE.

## Properties
Fermi-level density of states in states/eV per cell: 2.978
E_form (uncorrected) in eV/atom: 0.81
Space-group type: I4/mmm, No. 139

Unit cell a=3.8604 b=3.8604 c=7.5938 alpha=75.28 beta=75.28 gamma=90.00
Closest atoms and distances in Å follow each position.
Atoms (fractional coordinates):
Te1 0.3861 0.3861 0.2278  4 Pt 2.73
Te2 0.6139 0.6139 0.7722  4 Pt 2.73
Pt1 0.7500 0.2500 0.5000  4 Te 2.73, 4 Pt 2.73
Pt2 0.2500 0.7500 0.5000  4 Te 2.73, 4 Pt 2.73
N1 0.0000 0.0000 0.0000  8 Te 3.17

***

Record 5
This record from Alexandria via LeMat-Bulk describes an optimized crystal structure of InCuOs2. The functional is PBE.

## Properties
Fermi-level density of states in states/eV per cell: 5.699
Formation energy from the elements in eV/atom: 0.7293
Space-group type: I-42d, No. 122

Unit cell a=3.9222 b=3.9222 c=9.6942 alpha=78.33 beta=78.33 gamma=90.00
Closest atoms and distances in Å follow each position.
Atoms (fractional coordinates):
Os1 0.5436 0.1250 0.2500  2 Os 2.37, 2 Cu 2.61
Os2 0.2064 0.6250 0.2500  2 Os 2.37, 2 Cu 2.61
Os3 0.3750 0.4564 0.7500  2 Os 2.37, 2 Cu 2.61
Os4 0.8750 0.7936 0.7500  2 Os 2.37, 2 Cu 2.61
Cu1 0.5000 0.5000 0.0000  4 Os 2.61, 4 In 2.77
Cu2 0.2500 0.7500 0.5000  4 Os 2.61, 4 In 2.77
In1 0.0000 0.0000 0.0000  4 Cu 2.77, 4 Os 2.84
In2 0.7500 0.2500 0.5000  4 Cu 2.77, 4 Os 2.84

***

Record 6
This record from Alexandria via LeMat-Bulk describes an optimized crystal structure of BaCo2Sn8. The functional is PBE.

## Properties
Fermi-level density of states in states/eV per cell: 24.254
Formation energy from the elements in eV/atom: -0.2362
Space-group type: Cccm, No. 66

Unit cell a=9.1986 b=9.1986 c=14.0630 alpha=90.00 beta=90.00 gamma=111.24
Closest atoms and distances in Å follow each position.
Atoms (fractional coordinates):
Ba1 0.7918 0.1011 0.5000  11 Sn 3.55-3.88
Ba2 0.2082 0.8989 0.5000  11 Sn 3.55-3.88
Ba3 0.8989 0.2082 0.0000  11 Sn 3.55-3.88
Ba4 0.1011 0.7918 0.0000  11 Sn 3.55-3.88
Co1 0.2788 0.5714 0.6701  7 Sn 2.57-2.73, 1 Co 2.73
Co2 0.7212 0.4286 0.6701  7 Sn 2.57-2.73, 1 Co 2.73
Co3 0.4286 0.7212 0.8299  7 Sn 2.57-2.73, 1 Co 2.73
Co4 0.5714 0.2788 0.8299  7 Sn 2.57-2.73, 1 Co 2.73
Co5 0.7212 0.4286 0.3299  7 Sn 2.57-2.73, 1 Co 2.73
Co6 0.2788 0.5714 0.3299  7 Sn 2.57-2.73, 1 Co 2.73
Co7 0.5714 0.2788 0.1701  7 Sn 2.57-2.73, 1 Co 2.73
Co8 0.4286 0.7212 0.1701  7 Sn 2.57-2.73, 1 Co 2.73
Sn1 0.3920 0.5861 0.5000  2 Co 2.59
Sn2 0.6080 0.4139 0.5000  2 Co 2.59
Sn3 0.4139 0.6080 0.0000  2 Co 2.59
Sn4 0.5861 0.3920 0.0000  2 Co 2.59
Sn5 0.0000 0.0000 0.7500  6 Sn 3.13-3.17
Sn6 0.0000 0.0000 0.2500  6 Sn 3.13-3.17
Sn7 0.2063 0.7937 0.7500  2 Co 2.62
Sn8 0.7937 0.2063 0.7500  2 Co 2.62
Sn9 0.7937 0.2063 0.2500  2 Co 2.62
Sn10 0.2063 0.7937 0.2500  2 Co 2.62
Sn11 0.0000 0.5000 0.6059  2 Co 2.57
Sn12 0.5000 0.0000 0.8941  2 Co 2.57
Sn13 0.0000 0.5000 0.3941  2 Co 2.57
Sn14 0.5000 0.0000 0.1059  2 Co 2.57
Sn15 0.5353 0.8395 0.6643  2 Co 2.61-2.73
Sn16 0.4647 0.1605 0.6643  2 Co 2.61-2.73
Sn17 0.1605 0.4647 0.8357  2 Co 2.61-2.73
Sn18 0.8395 0.5353 0.8357  2 Co 2.61-2.73
Sn19 0.4647 0.1605 0.3357  2 Co 2.61-2.73
Sn20 0.5353 0.8395 0.3357  2 Co 2.61-2.73
Sn21 0.8395 0.5353 0.1643  2 Co 2.61-2.73
Sn22 0.1605 0.4647 0.1643  2 Co 2.61-2.73
Sn23 0.1934 0.2779 0.6140  1 Co 2.64
Sn24 0.8066 0.7221 0.6140  1 Co 2.64
Sn25 0.7221 0.8066 0.8860  1 Co 2.64
Sn26 0.2779 0.1934 0.8860  1 Co 2.64
Sn27 0.8066 0.7221 0.3860  1 Co 2.64
Sn28 0.1934 0.2779 0.3860  1 Co 2.64
Sn29 0.2779 0.1934 0.1140  1 Co 2.64
Sn30 0.7221 0.8066 0.1140  1 Co 2.64
Sn31 0.5000 0.5000 0.7500  4 Co 2.61
Sn32 0.5000 0.5000 0.2500  4 Co 2.61

***

Record 7
This record from Alexandria via LeMat-Bulk describes an optimized crystal structure of TiPb2Cl. The functional is PBE.

## Properties
Fermi-level density of states in states/eV per cell: 7.795
E_form (uncorrected) in eV/atom: 0.31
Space-group type: Fm-3m, No. 225

Unit cell a=5.2375 b=5.2375 c=5.2375 alpha=60.00 beta=60.00 gamma=60.00
Closest atoms and distances in Å follow each position.
Atoms (fractional coordinates):
Pb1 0.2500 0.2500 0.2500  4 Cl 3.21, 4 Ti 3.21
Pb2 0.7500 0.7500 0.7500  4 Ti 3.21, 4 Cl 3.21
Cl1 0.0000 0.0000 0.0000  8 Pb 3.21
Ti1 0.5000 0.5000 0.5000  8 Pb 3.21

***

Record 8
This record from Alexandria via LeMat-Bulk describes an optimized crystal structure of Tb2Al3HgAu4. The functional is PBE.

## Properties
Fermi-level density of states in states/eV per cell: 5.346
Formation energy from the elements in eV/atom: -0.5879
Space-group type: P-4m2, No. 115

Unit cell a=4.2976 b=4.2976 c=11.2519 alpha=90.00 beta=90.00 gamma=90.00
Closest atoms and distances in Å follow each position.
Atoms (fractional coordinates):
Tb1 0.5000 0.0000 0.2418  8 Au 3.24-3.47, 6 Al 3.31-3.61, 2 Hg 3.61
Tb2 0.0000 0.5000 0.7582  8 Au 3.24-3.47, 6 Al 3.31-3.61, 2 Hg 3.61
Al1 0.0000 0.0000 0.5000  4 Au 2.79, 4 Hg 3.04
Al2 0.5000 0.0000 0.8754  5 Au 2.44-2.57
Al3 0.0000 0.5000 0.1246  5 Au 2.44-2.57
Hg1 0.5000 0.5000 0.5000  4 Au 2.79, 4 Al 3.04
Au1 0.5000 0.5000 0.0000  4 Al 2.57
Au2 0.0000 0.0000 0.0000  4 Al 2.57
Au3 0.5000 0.0000 0.6581  1 Al 2.44
Au4 0.0000 0.5000 0.3419  1 Al 2.44

***

Record 9
This record from Alexandria via LeMat-Bulk describes an optimized crystal structure of KSrRu2. The functional is PBE.

## Properties
Fermi-level density of states in states/eV per cell: 2.690
Formation energy from the elements in eV/atom: 1.1297
Space-group type: P4/mmm, No. 123

Unit cell a=2.9535 b=2.9535 c=10.3101 alpha=90.00 beta=90.00 gamma=90.00
Closest atoms and distances in Å follow each position.
Atoms (fractional coordinates):
K1 0.5000 0.5000 0.7500  4 K 2.95
Ru1 0.0000 0.0000 0.0161  4 Ru 2.95, 4 Sr 3.19
Ru2 0.0000 0.0000 0.4839  4 Ru 2.95, 4 Sr 3.19
Sr1 0.5000 0.5000 0.2500  4 Sr 2.95, 8 Ru 3.19

***

Record 10
This record from Alexandria via LeMat-Bulk describes an optimized crystal structure of TlInBIr2. The functional is PBE.

## Properties
Fermi-level density of states in states/eV per cell: 5.225
Formation energy from the elements in eV/atom: 1.8050
Space-group type: P4/mmm, No. 123

Unit cell a=5.0406 b=4.1806 c=5.0406 alpha=90.00 beta=90.00 gamma=90.00
Closest atoms and distances in Å follow each position.
Atoms (fractional coordinates):
Tl1 0.5000 0.5000 0.5000  8 Ir 3.27, 4 B 3.56
Ir1 0.0000 0.0000 0.5000  2 In 2.52
Ir2 0.5000 0.0000 0.0000  2 In 2.52
B1 0.0000 0.5000 0.0000  2 In 2.09
In1 0.0000 0.0000 0.0000  2 B 2.09